Record 1
The following is a DFT calculation (GGA-PBE) of a geometry-optimized PmNdGePb structure.

Electronic total energy in Ry/atom: -0.3611
ΔE_f in meV per atom: -452
Fermi-level density of states in states/eV per cell: 21.15

Unit cell a=7.650 b=7.650 c=7.650 alpha=90.00 beta=90.00 gamma=90.00
Space group F-43m (No. 216)
Symmetry-distinct sites (fractional):
Pm 0.000 0.000 0.000
Nd 0.000 0.000 0.500
Ge 0.250 0.250 0.750
Pb 0.250 0.250 0.250

***

Record 2
The following is a DFT calculation (GGA-PBE) of a geometry-optimized IrRu2Rh structure.

Electronic total energy in Ry/atom: -0.6301
ΔE_f in meV per atom: 118
Fermi-level density of states in states/eV per cell: 6.21

Unit cell a=4.225 b=2.694 c=10.083 alpha=90.00 beta=90.00 gamma=90.00
Space group Amm2 (No. 38)
Symmetry-distinct sites (fractional):
Ir 0.000 0.000 0.000
Ru 0.000 0.000 0.744
Ru 0.500 0.000 0.402
Rh 0.500 0.000 0.147